A relaxed Tb8GeTe4As3 crystal. Source: Alexandria, functional PBE.

Properties
volume	27.50	A^3/atom
D(E_F)	5.09	states/eV/f.u.
mass density	7.85	g cm⁻³
uncorrected formation energy	-23.10	eV per formula unit
SG	R-3m

a b c (Å): 8.456 8.621 8.456
angles (deg): 119.37 120.00 90.00
Sites, in units of the cell vectors:
1 As 0.500 0.500 0.500
2 As 0.500 0.500 0.000
3 As 0.000 0.500 0.500
4 Ge 0.000 0.500 0.000
5 Tb 0.742 0.719 0.981
6 Tb 0.258 0.281 0.019
7 Tb 0.740 0.719 0.479
8 Tb 0.260 0.281 0.521
9 Tb 0.762 0.281 0.019
10 Tb 0.238 0.719 0.981
11 Tb 0.761 0.281 0.523
12 Tb 0.239 0.719 0.477
13 Te 0.500 0.000 0.000
14 Te 0.000 0.000 0.500
15 Te 0.500 0.000 0.500
16 Te 0.000 0.000 0.000